[1]
## LaOs3 (SCAN)

Data for LaOs3 at its PBEsol-relaxed geometry.

Unit cell a=4.8612 b=4.8612 c=4.8612 alpha=90.00 beta=90.00 gamma=90.00
Atoms (fractional coordinates):
La: 0.0000 0.0000 0.0000
Os: 0.0000 0.0000 0.5000
Os: 0.0000 0.5000 0.0000
Os: 0.5000 0.0000 0.0000

Calculated values
As for the symmetry: Pm-3m (221). The total magnetization is 2.47 Bohr magnetons per cell. The energy of formation comes out at 4044.5 meV/atom.

***

[2]
## LaOs (SCAN)

Data for LaOs at its PBEsol-relaxed geometry.

Unit cell a=4.7879 b=4.7879 c=4.7879 alpha=61.92 beta=61.92 gamma=61.92
Atoms (fractional coordinates):
La: 0.1275 0.1275 0.1275
La: 0.8725 0.8725 0.8725
Os: 0.3841 0.3841 0.3841
Os: 0.6159 0.6159 0.6159

Calculated values
As for the symmetry: R-3m (166). The total magnetization is 0.00 Bohr magnetons per cell. The energy of formation comes out at 403.1 meV/atom.

***

[3]
## LaOs (SCAN)

Data for LaOs at its PBEsol-relaxed geometry.

Unit cell a=3.4136 b=3.4136 c=8.7188 alpha=90.00 beta=90.00 gamma=120.00
Atoms (fractional coordinates):
La: 0.0000 0.0000 0.0000
La: 0.0000 0.0000 0.5000
Os: 0.3333 0.6667 0.2500
Os: 0.6667 0.3333 0.7500

Calculated values
As for the symmetry: P6_3/mmc (194). The total magnetization is 0.00 Bohr magnetons per cell. The energy of formation comes out at 629.7 meV/atom.

***

[4]
## La3Os (SCAN)

Data for La3Os at its PBEsol-relaxed geometry.

Unit cell a=7.3577 b=9.8151 c=6.4498 alpha=90.00 beta=90.00 gamma=90.00
Atoms (fractional coordinates):
La: 0.0449 0.2500 0.1480
La: 0.1732 0.0675 0.6706
La: 0.1732 0.4325 0.6706
La: 0.3268 0.5675 0.1706
La: 0.3268 0.9325 0.1706
La: 0.4551 0.7500 0.6480
La: 0.5449 0.2500 0.3520
La: 0.6732 0.0675 0.8294
La: 0.6732 0.4325 0.8294
La: 0.8268 0.5675 0.3294
La: 0.8268 0.9325 0.3294
La: 0.9551 0.7500 0.8520
Os: 0.1161 0.7500 0.4406
Os: 0.3839 0.2500 0.9406
Os: 0.6161 0.7500 0.0594
Os: 0.8839 0.2500 0.5594

Calculated values
As for the symmetry: Pnma (62). The total magnetization is 0.00 Bohr magnetons per cell. The energy of formation comes out at -232.2 meV/atom.

***

[5]
## La3Os (SCAN)

Data for La3Os at its PBEsol-relaxed geometry.

Unit cell a=4.6592 b=4.6592 c=4.6592 alpha=90.00 beta=90.00 gamma=90.00
Atoms (fractional coordinates):
La: 0.0000 0.0000 0.5000
La: 0.0000 0.5000 0.0000
La: 0.5000 0.0000 0.0000
Os: 0.5000 0.5000 0.5000

Calculated values
As for the symmetry: Pm-3m (221). The total magnetization is 0.00 Bohr magnetons per cell. The energy of formation comes out at 228.9 meV/atom.

***

[6]
## LaOs3 (SCAN)

Data for LaOs3 at its PBEsol-relaxed geometry.

Unit cell a=2.8730 b=2.8730 c=8.2564 alpha=90.00 beta=90.00 gamma=90.00
Atoms (fractional coordinates):
La: 0.0000 0.0000 0.0000
Os: 0.0000 0.0000 0.5000
Os: 0.5000 0.5000 0.2948
Os: 0.5000 0.5000 0.7052

Calculated values
As for the symmetry: P4/mmm (123). The total magnetization is 0.00 Bohr magnetons per cell. The energy of formation comes out at 395.7 meV/atom.

***

[7]
## La4Os (SCAN)

Data for La4Os at its PBEsol-relaxed geometry.

Unit cell a=6.6187 b=6.6187 c=6.6187 alpha=94.35 beta=94.35 gamma=148.02
Atoms (fractional coordinates):
La: 0.0762 0.7441 0.8203
La: 0.2559 0.0762 0.3320
La: 0.7441 0.9238 0.6680
La: 0.9238 0.2559 0.1797
Os: 0.5000 0.5000 0.0000

Calculated values
The polymorph energy (0 for the lowest one) is 0.000 eV per atom. As for the symmetry: I4/m (87). The total magnetization is 0.00 Bohr magnetons per cell. The energy of formation comes out at -79.5 meV/atom.

***

[8]
## LaOs (SCAN)

Data for LaOs at its PBEsol-relaxed geometry.

Unit cell a=4.8846 b=4.8846 c=4.8816 alpha=90.00 beta=90.00 gamma=120.00
Atoms (fractional coordinates):
La: 0.3333 0.6667 0.2500
La: 0.6667 0.3333 0.7500
Os: 0.0000 0.0000 0.0000
Os: 0.0000 0.0000 0.5000

Calculated values
As for the symmetry: P6_3/mmc (194). The total magnetization is 0.00 Bohr magnetons per cell. The energy of formation comes out at -283.8 meV/atom.

***

Please write out number 1 again, unchanged.
## LaOs3 (SCAN)

Data for LaOs3 at its PBEsol-relaxed geometry.

Unit cell a=4.8612 b=4.8612 c=4.8612 alpha=90.00 beta=90.00 gamma=90.00
Atoms (fractional coordinates):
La: 0.0000 0.0000 0.0000
Os: 0.0000 0.0000 0.5000
Os: 0.0000 0.5000 0.0000
Os: 0.5000 0.0000 0.0000

Calculated values
As for the symmetry: Pm-3m (221). The total magnetization is 2.47 Bohr magnetons per cell. The energy of formation comes out at 4044.5 meV/atom.